No. 1
K2YThSe4 after structural relaxation, computed with GGA-PBE.

CIF file:
```
data_K2YThSe4
_chemical_formula_sum 'K2 Y1 Th1 Se4'
_symmetry_space_group_name_H-M 'P 1 2/m 1'
_symmetry_Int_Tables_number 10
_symmetry_space_group_name_Hall '-P 2y'
_cell_length_a 7.333
_cell_length_b 4.228
_cell_length_c 8.133
_cell_angle_alpha 90.00
_cell_angle_beta 107.35
_cell_angle_gamma 90.00
loop_
_atom_site_label
_atom_site_type_symbol
_atom_site_fract_x
_atom_site_fract_y
_atom_site_fract_z
K1 K 0.000 0.000 0.000
K2 K 0.500 0.500 0.000
Y1 Y 0.000 0.500 0.500
Th1 Th 0.500 0.000 0.500
Se1 Se 0.234 0.000 0.709
Se2 Se 0.257 0.500 0.285
```

No. 2
K4Y3ThSe8 after structural relaxation, computed with GGA-PBE.

CIF file:
```
data_K4Y3ThSe8
_chemical_formula_sum 'K12 Y9 Th3 Se24'
_symmetry_space_group_name_H-M 'R -3 m'
_symmetry_Int_Tables_number 166
_symmetry_space_group_name_Hall '-R 3 2"'
_cell_length_a 8.4490
_cell_length_b 8.4490
_cell_length_c 23.1478
_cell_angle_alpha 90.00
_cell_angle_beta 90.00
_cell_angle_gamma 120.00
loop_
_atom_site_label
_atom_site_type_symbol
_atom_site_fract_x
_atom_site_fract_y
_atom_site_fract_z
K1 K 0.0000 0.0000 0.0000
K2 K 0.0000 0.5000 0.0000
Y1 Y 0.0000 0.5000 0.5000
Th1 Th 0.0000 0.0000 0.5000
Se1 Se 0.0000 0.0000 0.2354
Se2 Se 0.0026 0.5013 0.7634
```

No. 3
K3Y3ThSe8 after structural relaxation, computed with GGA-PBE.

CIF file:
```
data_K3Y3ThSe8
_chemical_formula_sum 'K9 Y9 Th3 Se24'
_symmetry_space_group_name_H-M 'R -3 m'
_symmetry_Int_Tables_number 166
_symmetry_space_group_name_Hall '-R 3 2"'
_cell_length_a 8.4282
_cell_length_b 8.4282
_cell_length_c 23.4006
_cell_angle_alpha 90.00
_cell_angle_beta 90.00
_cell_angle_gamma 120.00
loop_
_atom_site_label
_atom_site_type_symbol
_atom_site_fract_x
_atom_site_fract_y
_atom_site_fract_z
K1 K 0.0000 0.5000 0.0000
Y1 Y 0.0000 0.5000 0.5000
Th1 Th 0.0000 0.0000 0.5000
Se1 Se 0.0000 0.0000 0.2345
Se2 Se 0.0034 0.5017 0.7655
```

No. 4
K2ThZnSe4 after structural relaxation, computed with GGA-PBE.

CIF file:
```
data_K2ThZnSe4
_chemical_formula_sum 'K8 Th4 Zn4 Se16'
_symmetry_space_group_name_H-M 'C 1 2/c 1'
_symmetry_Int_Tables_number 15
_symmetry_space_group_name_Hall '-C 2yc'
_cell_length_a 11.891
_cell_length_b 12.760
_cell_length_c 8.719
_cell_angle_alpha 90.00
_cell_angle_beta 132.67
_cell_angle_gamma 90.00
loop_
_atom_site_label
_atom_site_type_symbol
_atom_site_fract_x
_atom_site_fract_y
_atom_site_fract_z
K1 K 0.000 0.000 0.000
K2 K 0.250 0.250 0.000
Th1 Th 0.250 0.250 0.500
Zn1 Zn 0.000 0.500 0.000
Se1 Se 0.011 0.248 0.042
Se2 Se 0.204 0.483 0.498
```

No. 5
K5Ti2Se6 after structural relaxation, computed with GGA-PBE.

CIF file:
```
data_K5Ti2Se6
_chemical_formula_sum 'K20 Ti8 Se24'
_symmetry_space_group_name_H-M 'C 1 2/c 1'
_symmetry_Int_Tables_number 15
_symmetry_space_group_name_Hall '-C 2yc'
_cell_length_a 13.138
_cell_length_b 8.314
_cell_length_c 17.220
_cell_angle_alpha 90.00
_cell_angle_beta 102.19
_cell_angle_gamma 90.00
loop_
_atom_site_label
_atom_site_type_symbol
_atom_site_fract_x
_atom_site_fract_y
_atom_site_fract_z
K1 K 0.000 0.144 0.250
K2 K 0.052 0.238 0.999
K3 K 0.160 0.390 0.728
Ti1 Ti 0.228 0.366 0.429
Se1 Se 0.057 0.463 0.373
Se2 Se 0.142 0.038 0.640
Se3 Se 0.221 0.067 0.428
```

No. 6
KTiSe2 after structural relaxation, computed with GGA-PBE.

CIF file:
```
data_KTiSe2
_chemical_formula_sum 'K4 Ti4 Se8'
_symmetry_space_group_name_H-M 'I -4 2 d'
_symmetry_Int_Tables_number 122
_symmetry_space_group_name_Hall 'I -4 2bw'
_cell_length_a 7.279
_cell_length_b 7.279
_cell_length_c 9.828
_cell_angle_alpha 90.00
_cell_angle_beta 90.00
_cell_angle_gamma 90.00
loop_
_atom_site_label
_atom_site_type_symbol
_atom_site_fract_x
_atom_site_fract_y
_atom_site_fract_z
K1 K 0.000 0.000 0.000
Ti1 Ti 0.000 0.000 0.500
Se1 Se 0.155 0.750 0.625
```

No. 7
KTi4Se8 after structural relaxation, computed with GGA-PBE.

CIF file:
```
data_KTi4Se8
_chemical_formula_sum 'K4 Ti16 Se32'
_symmetry_space_group_name_H-M 'F -4 3 m'
_symmetry_Int_Tables_number 216
_symmetry_space_group_name_Hall 'F -4 2 3'
_cell_length_a 11.037
_cell_length_b 11.037
_cell_length_c 11.037
_cell_angle_alpha 90.00
_cell_angle_beta 90.00
_cell_angle_gamma 90.00
loop_
_atom_site_label
_atom_site_type_symbol
_atom_site_fract_x
_atom_site_fract_y
_atom_site_fract_z
K1 K 0.000 0.000 0.000
Ti1 Ti 0.119 0.119 0.619
Se1 Se 0.117 0.117 0.383
Se2 Se 0.147 0.147 0.853
```

No. 8
K3TiSe4 after structural relaxation, computed with GGA-PBE.

CIF file:
```
data_K3TiSe4
_chemical_formula_sum 'K12 Ti4 Se16'
_symmetry_space_group_name_H-M 'P n m a'
_symmetry_Int_Tables_number 62
_symmetry_space_group_name_Hall '-P 2ac 2n'
_cell_length_a 9.324
_cell_length_b 10.901
_cell_length_c 10.240
_cell_angle_alpha 90.00
_cell_angle_beta 90.00
_cell_angle_gamma 90.00
loop_
_atom_site_label
_atom_site_type_symbol
_atom_site_fract_x
_atom_site_fract_y
_atom_site_fract_z
K1 K 0.045 0.045 0.197
K2 K 0.160 0.750 0.422
Ti1 Ti 0.250 0.250 0.473
Se1 Se 0.029 0.750 0.090
Se2 Se 0.143 0.054 0.533
Se3 Se 0.205 0.750 0.746
```

The records above yield uncorrected formation energy values of -1.648 -1.711 -1.769 -1.229 -1.269 -1.067 -0.973 -1.116 eV per atom, respectively.